[1]
Entry from the Alexandria database: a relaxed structure of Ni3W (PBE).

Calculated values
**Energy relative to the elements**: 4 meV per atom

a = 2.6348 Å, b = 4.4678 Å, c = 4.4125 Å
α = 100.44°, β = 90.00°, γ = 107.15°
Last column: nearest neighbours and their distance in Å.
Sites, in units of the cell vectors:
W 0.7500 0.5000 0.2500  10 Ni 2.56-2.60, 2 W 2.63
Ni 0.5036 0.0072 0.5031  9 Ni 2.55-2.63, 3 W 2.56-2.60
Ni 0.9964 0.9928 0.9969  9 Ni 2.55-2.63, 3 W 2.56-2.60
Ni 0.2500 0.5000 0.7500  8 Ni 2.55-2.63, 4 W 2.57

[2]
Entry from the Alexandria database: a relaxed structure of ZrSb2TeRu (PBE).

Calculated values
**E_form (uncorrected)**: 2.59 eV per formula unit
**Excess energy over the best structure of this formula in the dataset**: 0.0 meV per atom

a = 4.9828 Å, b = 4.9828 Å, c = 5.4420 Å
α = 90.00°, β = 90.00°, γ = 90.00°
Last column: nearest neighbours and their distance in Å.
Sites, in units of the cell vectors:
Sb 0.5000 0.0000 0.0000  2 Ru 2.49
Sb 0.0000 0.5000 0.0000  2 Ru 2.49
Te 0.0000 0.0000 0.5000  2 Ru 2.72
Zr 0.5000 0.5000 0.5000  4 Te 3.52, 8 Sb 3.69
Ru 0.0000 0.0000 0.0000  4 Sb 2.49, 2 Te 2.72

[3]
Entry from the Alexandria database: a relaxed structure of K2HgPd4Pb3 (PBE).

Calculated values
**Energy relative to the elements**: -227 meV per atom

a = 4.8645 Å, b = 4.8645 Å, c = 11.0082 Å
α = 90.00°, β = 90.00°, γ = 90.00°
Last column: nearest neighbours and their distance in Å.
Sites, in units of the cell vectors:
Pd 0.0000 0.0000 0.0000  4 Pb 2.77
Pd 0.0000 0.5000 0.3699  3 Pb 2.75-2.82, 2 Hg 2.82
Pd 0.5000 0.5000 0.0000  4 Pb 2.77
Pd 0.5000 0.0000 0.6301  3 Pb 2.75-2.82, 2 Hg 2.82
Pb 0.0000 0.5000 0.1199  5 Pd 2.75-2.77
Pb 0.0000 0.0000 0.5000  4 Pd 2.82
Pb 0.5000 0.0000 0.8801  5 Pd 2.75-2.77
K 0.5000 0.0000 0.2465  8 Pd 3.64-3.70, 2 Hg 3.70, 7 Pb 3.70-4.03
K 0.0000 0.5000 0.7535  8 Pd 3.64-3.70, 7 Pb 3.70-4.03, 2 Hg 3.70
Hg 0.5000 0.5000 0.5000  4 Pd 2.82

[4]
Entry from the Alexandria database: a relaxed structure of CaTh2Al (PBE).

Calculated values
**Excess energy over the best structure of this formula in the dataset**: 0.0 meV per atom
**Energy relative to the elements**: 42 meV per atom

a = 4.9585 Å, b = 4.8412 Å, c = 4.8412 Å
α = 90.00°, β = 90.00°, γ = 90.00°
Last column: nearest neighbours and their distance in Å.
Sites, in units of the cell vectors:
Th 0.0000 0.5000 0.0000  4 Th 3.42, 4 Al 3.46, 4 Ca 3.46
Th 0.0000 0.0000 0.5000  4 Th 3.42, 4 Al 3.46, 4 Ca 3.46
Al 0.5000 0.0000 0.0000  4 Ca 3.42, 8 Th 3.46
Ca 0.5000 0.5000 0.5000  4 Al 3.42, 8 Th 3.46